(1)
## Na3CuSnSe4 (PBE)

Data for an optimized crystal structure of Na3CuSnSe4.

The total energy is -3.587 eV/atom. Its crystal system is monoclinic.

The space group is P2_1/c (No. 14) and the conventional cell measures 6.898, 10.255 and 14.691 Å, with angles of 90.00, 117.43 and 90.00 degrees. The inequivalent atoms are Na at (0.106, 0.118, 0.126), Na at (0.244, 0.604, 0.017), Na at (0.321, 0.139, 0.876), Cu at (0.120, 0.606, 0.214), Sn at (0.390, 0.640, 0.805), Se at (0.116, 0.682, 0.616), Se at (0.214, 0.102, 0.659), Se at (0.271, 0.072, 0.359) and Se at (0.356, 0.658, 0.401).

***

(2)
## NaCuSnSe3 (PBE)

Data for an optimized crystal structure of NaCuSnSe3.

For the energy above the most stable polymorph in this dataset, the calculation gives 0.062 eV/atom. Its crystal system is orthorhombic.

The space group is Pnma (No. 62) and the conventional cell measures 9.055, 3.990 and 15.565 Å, with angles of 90.00, 90.00 and 90.00 degrees. The inequivalent atoms are Na at (0.092, 0.250, 0.215), Cu at (0.179, 0.250, 0.648), Sn at (0.190, 0.750, 0.445), Se at (0.021, 0.750, 0.604), Se at (0.155, 0.250, 0.798) and Se at (0.158, 0.750, 0.029).

***

(3)
## NaCuSnSe3 (PBE)

Data for an optimized crystal structure of NaCuSnSe3.

For the energy above the most stable polymorph in this dataset, the calculation gives 0.003 eV/atom. Its crystal system is monoclinic.

The space group is P2_1/m (No. 11) and the conventional cell measures 7.897, 3.949 and 9.560 Å, with angles of 90.00, 105.35 and 90.00 degrees. The inequivalent atoms are Na at (0.245, 0.250, 0.190), Cu at (0.438, 0.250, 0.921), Sn at (0.189, 0.750, 0.649), Se at (0.070, 0.750, 0.354), Se at (0.251, 0.750, 0.945) and Se at (0.432, 0.250, 0.661).

***

(4)
## NaCuSnSe3 (PBE)

Data for an optimized crystal structure of NaCuSnSe3.

For the energy above the most stable polymorph in this dataset, the calculation gives 0.009 eV/atom. Its crystal system is orthorhombic.

The space group is Pnma (No. 62) and the conventional cell measures 13.194, 4.055 and 10.575 Å, with angles of 90.00, 90.00 and 90.00 degrees. The inequivalent atoms are Na at (0.159, 0.250, 0.000), Cu at (0.235, 0.750, 0.221), Sn at (0.018, 0.750, 0.664), Se at (0.059, 0.750, 0.182), Se at (0.122, 0.250, 0.524) and Se at (0.190, 0.750, 0.796).

***

(5)
## NaCuSnSe3 (PBE)

Data for an optimized crystal structure of NaCuSnSe3.

For the energy above the most stable polymorph in this dataset, the calculation gives 0.092 eV/atom. Its crystal system is monoclinic.

The space group is C2/m (No. 12) and the conventional cell measures 16.813, 3.975 and 8.499 Å, with angles of 90.00, 103.62 and 90.00 degrees. The inequivalent atoms are Na at (0.132, 0.000, 0.061), Cu at (0.010, 0.500, 0.714), Sn at (0.173, 0.000, 0.587), Se at (0.000, 0.000, 0.500), Se at (0.000, 0.500, 0.000), Se at (0.159, 0.500, 0.340) and Se at (0.163, 0.500, 0.807).

***

(6)
## NaCuSnTe2Se (PBE)

Data for an optimized crystal structure of NaCuSnTe2Se.

The total energy is -3.483 eV/atom. Its crystal system is orthorhombic.

The space group is Cmcm (No. 63) and the conventional cell measures 4.146, 13.377 and 11.267 Å, with angles of 90.00, 90.00 and 90.00 degrees. The inequivalent atoms are Na at (0.000, 0.222, 0.250), Cu at (0.000, 0.049, 0.750), Sn at (0.000, 0.500, 0.000), Te at (0.000, 0.157, 0.550) and Se at (0.000, 0.450, 0.750).

***

(7)
## NaTaCu2Se4 (PBE)

Data for an optimized crystal structure of NaTaCu2Se4.

The total energy is -4.996 eV/atom. Its crystal system is tetragonal.

The space group is P-42m (No. 111) and the conventional cell measures 5.707, 5.707 and 6.983 Å, with angles of 90.00, 90.00 and 90.00 degrees. The inequivalent atoms are Na at (0.000, 0.000, 0.000), Ta at (0.000, 0.000, 0.500), Cu at (0.000, 0.500, 0.500) and Se at (0.249, 0.249, 0.299).

***

(8)
## Na2TaCuSe4 (PBE)

Data for an optimized crystal structure of Na2TaCuSe4.

The total energy is -4.849 eV/atom. Its crystal system is tetragonal.

The space group is P-42m (No. 111) and the conventional cell measures 7.029, 7.029 and 5.701 Å, with angles of 90.00, 90.00 and 90.00 degrees. The inequivalent atoms are Na at (0.000, 0.500, 0.000), Ta at (0.000, 0.000, 0.000), Cu at (0.000, 0.000, 0.500) and Se at (0.201, 0.201, 0.751).

***

(9)
## NaTaCuSe3 (PBE)

Data for an optimized crystal structure of NaTaCuSe3.

The total energy is -5.141 eV/atom. Its crystal system is orthorhombic.

The space group is Pnma (No. 62) and the conventional cell measures 11.613, 3.642 and 11.743 Å, with angles of 90.00, 90.00 and 90.00 degrees. The inequivalent atoms are Na at (0.170, 0.250, 0.019), Ta at (0.055, 0.250, 0.335), Cu at (0.245, 0.750, 0.211), Se at (0.041, 0.750, 0.171), Se at (0.089, 0.250, 0.577) and Se at (0.230, 0.750, 0.844).

***

(10)
## NaTaCuTeSe2 (PBE)

Data for an optimized crystal structure of NaTaCuTeSe2.

The total energy is -5.056 eV/atom. Its crystal system is orthorhombic.

The space group is Cmcm (No. 63) and the conventional cell measures 3.695, 14.387 and 10.202 Å, with angles of 90.00, 90.00 and 90.00 degrees. The inequivalent atoms are Na at (0.000, 0.219, 0.250), Ta at (0.000, 0.000, 0.000), Cu at (0.000, 0.468, 0.750), Te at (0.000, 0.095, 0.750) and Se at (0.000, 0.375, 0.556).

***

(11)
## NaTaCuTe2Se (PBE)

Data for an optimized crystal structure of NaTaCuTe2Se.

The total energy is -4.866 eV/atom. Its crystal system is orthorhombic.

The space group is Cmcm (No. 63) and the conventional cell measures 3.814, 14.753 and 10.053 Å, with angles of 90.00, 90.00 and 90.00 degrees. The inequivalent atoms are Na at (0.000, 0.243, 0.250), Ta at (0.000, 0.500, 0.000), Cu at (0.000, 0.030, 0.750), Te at (0.000, 0.138, 0.549) and Se at (0.000, 0.429, 0.750).

***

(12)
## NaTbCu3Se4 (PBE)

Data for an optimized crystal structure of NaTbCu3Se4.

For the energy above the most stable polymorph in this dataset, the calculation gives 0.069 eV/atom. Its crystal system is cubic.

The space group is P-43m (No. 215) and the conventional cell measures 6.108, 6.108 and 6.108 Å, with angles of 90.00, 90.00 and 90.00 degrees. The inequivalent atoms are Na at (0.000, 0.000, 0.000), Tb at (0.500, 0.500, 0.500), Cu at (0.000, 0.500, 0.500) and Se at (0.252, 0.252, 0.252).